No. 1
# PBE AcTbLuPb, optimized geometry
data_AcTbLuPb
_chemical_formula_sum 'Ac4 Tb4 Lu4 Pb4'
_space_group_name_H-M_alt 'F -4 3 m'
_space_group_IT_number 216
_space_group_name_Hall 'F -4 2 3'
_cell_length_a 7.904
_cell_length_b 7.904
_cell_length_c 7.904
_cell_angle_alpha 90.00
_cell_angle_beta 90.00
_cell_angle_gamma 90.00
loop_
_atom_site_label
_atom_site_fract_x
_atom_site_fract_y
_atom_site_fract_z
Ac1 0.000 0.000 0.000
Tb1 0.250 0.250 0.250
Lu1 0.250 0.250 0.750
Pb1 0.000 0.000 0.500
# - total DFT energy (no corrections) (eV/f.u.) = -17.0
# - DOS(E_F) (states/eV per atom) = 1.628
# - M_tot (μB/cell) = 0.0
# - E_form (eV per atom) = -0.0154

---

No. 2
# PBE GaGePdPt2, optimized geometry
data_GaGePdPt2
_chemical_formula_sum 'Ga1 Ge1 Pd1 Pt2'
_space_group_name_H-M_alt 'P 4/m m m'
_space_group_IT_number 123
_space_group_name_Hall '-P 4 2'
_cell_length_a 4.634
_cell_length_b 4.634
_cell_length_c 4.734
_cell_angle_alpha 90.00
_cell_angle_beta 90.00
_cell_angle_gamma 90.00
loop_
_atom_site_label
_atom_site_fract_x
_atom_site_fract_y
_atom_site_fract_z
Ga1 0.000 0.000 0.000
Ge1 0.000 0.000 0.500
Pd1 0.500 0.500 0.500
Pt1 0.000 0.500 0.000
# - total DFT energy (no corrections) (eV/f.u.) = -21.7
# - DOS(E_F) (states/eV per atom) = 0.598
# - M_tot (μB/cell) = 0.0
# - E_form (eV per atom) = 0.6412

---

No. 3
# PBE Ba2BSbO6, optimized geometry
data_Ba2BSbO6
_chemical_formula_sum 'Ba4 B2 Sb2 O12'
_space_group_name_H-M_alt 'I 4/m m m'
_space_group_IT_number 139
_space_group_name_Hall '-I 4 2'
_cell_length_a 6.418
_cell_length_b 6.418
_cell_length_c 7.259
_cell_angle_alpha 90.00
_cell_angle_beta 90.00
_cell_angle_gamma 90.00
loop_
_atom_site_label
_atom_site_fract_x
_atom_site_fract_y
_atom_site_fract_z
Ba1 0.000 0.500 0.250
B1 0.000 0.000 0.000
Sb1 0.000 0.000 0.500
O1 0.000 0.000 0.177
O2 0.215 0.215 0.500
# - energy relative to the elements, uncorrected (eV per atom) = -2.13
# - total DFT energy (no corrections) (eV/f.u.) = -65.6
# - DOS(E_F) (states/eV per atom) = 0.000
# - M_tot (μB/cell) = 0.0

---

No. 4
# PBE ReBSb2I, optimized geometry
data_ReBSb2I
_chemical_formula_sum 'Re1 B1 Sb2 I1'
_space_group_name_H-M_alt 'P 4/m m m'
_space_group_IT_number 123
_space_group_name_Hall '-P 4 2'
_cell_length_a 5.065
_cell_length_b 5.065
_cell_length_c 5.968
_cell_angle_alpha 90.00
_cell_angle_beta 90.00
_cell_angle_gamma 90.00
loop_
_atom_site_label
_atom_site_fract_x
_atom_site_fract_y
_atom_site_fract_z
Re1 0.000 0.000 0.000
B1 0.500 0.500 0.500
Sb1 0.000 0.500 0.000
I1 0.000 0.000 0.500
# - energy relative to the elements, uncorrected (eV per atom) = 1.53
# - ΔE to the lowest computed polymorph (meV per atom) = 0
# - total DFT energy (no corrections) (eV/f.u.) = -21.3
# - DOS(E_F) (states/eV per atom) = 0.594
# - M_tot (μB/cell) = 0.4

---

No. 5
# PBE K2Na2Au15, optimized geometry
data_K2Na2Au15
_chemical_formula_sum 'K6 Na6 Au45'
_space_group_name_H-M_alt 'R -3 m'
_space_group_IT_number 166
_space_group_name_Hall '-R 3 2"'
_cell_length_a 9.9131
_cell_length_b 9.9131
_cell_length_c 14.0541
_cell_angle_alpha 90.00
_cell_angle_beta 90.00
_cell_angle_gamma 120.00
loop_
_atom_site_label
_atom_site_fract_x
_atom_site_fract_y
_atom_site_fract_z
K1 0.0000 0.0000 0.1517
Na1 0.0000 0.0000 0.3991
Au1 0.0000 0.3102 0.5000
Au2 0.0000 0.5000 0.0000
Au3 0.0017 0.5009 0.6569
# - total DFT energy (no corrections) (eV/f.u.) = -58.4
# - DOS(E_F) (states/eV per atom) = 0.280
# - M_tot (μB/cell) = 0.0
# - E_form (eV per atom) = -0.2313